# 1
Material: CrAg3Se
Method: DFT, PBE-GGA
State: relaxed

Structure (POSCAR):
```
CrAg3Se
1.0
4.997 0.000 0.000
0.000 4.997 0.000
0.000 0.000 4.997
Ag Se Cr
3 1 1
Direct
0.000 0.000 0.500
0.000 0.500 0.000
0.500 0.000 0.000
0.500 0.500 0.500
0.000 0.000 0.000
```

Size of the total moment ... 5.01 Bohr magnetons per cell

# 2
Material: Tb5As4S
Method: DFT, PBE-GGA
State: relaxed

Structure (POSCAR):
```
Tb5As4S
1.0
-0.858 5.706 0.616
-6.760 1.802 1.227
0.586 2.317 6.689
As Tb S
4 5 1
Direct
0.800 0.800 0.602
0.202 0.200 0.398
0.402 0.398 0.800
0.600 0.602 0.200
0.501 0.000 0.000
0.702 0.199 0.400
0.301 0.801 0.600
0.101 0.600 0.199
0.901 0.400 0.801
0.001 0.000 0.000
```

Size of the total moment ... 0.00 Bohr magnetons per cell

# 3
Material: FeGeBr
Method: DFT, PBE-GGA
State: relaxed

Structure (POSCAR):
```
FeGeBr
1.0
-1.311 -3.149 0.558
1.224 -2.191 -9.495
3.895 -1.472 0.842
Ge Fe Br
2 2 2
Direct
0.000 0.470 0.000
0.500 0.530 0.500
0.000 0.337 0.500
0.500 0.663 0.000
0.500 0.164 0.500
0.000 0.836 0.000
```

Size of the total moment ... 4.89 Bohr magnetons per cell

Results for E: -3.274, -6.257, -4.975 (in eV per atom, following the order of the records).
Results for energy relative to the elements, uncorrected: 1.058, -1.670, -0.057 (in eV/atom, following the order of the records).
Results for D(E_F): 0.05, 0.21, 0.65 (in states/eV per atom, following the order of the records).